First-principles (GGA+U) data for an optimized crystal structure of In2WO2, as listed in Alexandria.

Unit cell a=7.564 b=7.564 c=3.092 alpha=90.00 beta=90.00 gamma=90.00
Positions (direct):
In 0.131 0.369 0.000
In 0.369 0.869 0.000
In 0.631 0.131 0.000
In 0.869 0.631 0.000
W 0.000 0.000 0.000
W 0.500 0.500 0.000
O 0.121 0.621 0.500
O 0.379 0.121 0.500
O 0.621 0.879 0.500
O 0.879 0.379 0.500

Output
Raw total energy (Ry/atom): -0.30486
Total magnetization (μB/f.u.): 3.03